The following is a DFT calculation (PBE) of crystalline Tb10Ti6O27 at its relaxed geometry.

abc: 7.4640 7.4640 12.6084
angles: 71.96 71.96 58.58
Closest atoms and distances in Å follow each position.
Fractional coordinates of all 43 atoms:
O1 0.6446 0.1777 0.9757  1 Ti 1.85
O2 0.1972 0.1972 0.0007  2 Ti 1.97
O3 0.0710 0.0710 0.8145  4 Tb 2.14-2.25
O4 0.4741 0.9652 0.1596  1 Ti 1.96
O5 0.0580 0.4226 0.3620  2 Ti 1.85-1.98
O6 0.1777 0.6446 0.9757  1 Ti 1.85
O7 0.3323 0.7751 0.5661  3 Tb 2.24-2.31
O8 0.5248 0.1060 0.8183  1 Ti 2.09, 2 Tb 2.24-2.30
O9 0.9358 0.9358 0.6886  4 Tb 2.20-2.28
O10 0.1252 0.7001 0.4428  1 Ti 1.87
O11 0.7751 0.3323 0.5661  3 Tb 2.24-2.31
O12 0.7658 0.7658 0.9581  2 Ti 1.92
O13 0.4226 0.0580 0.3620  2 Ti 1.85-1.98
O14 0.9326 0.9326 0.1900  4 Tb 2.22-2.33
O15 0.0883 0.0883 0.2963  1 Ti 1.96
O16 0.9239 0.4997 0.6621  1 Ti 1.89
O17 0.7813 0.3795 0.0378  1 Ti 1.91
O18 0.2894 0.2894 0.5387  2 Ti 2.04
O19 0.7363 0.7363 0.4525  2 Ti 1.90
O20 0.1060 0.5248 0.8183  1 Ti 2.09, 2 Tb 2.24-2.30
O21 0.4049 0.4049 0.1724  2 Ti 1.94-2.01
O22 0.5590 0.5590 0.8429  1 Ti 1.94
O23 0.5644 0.5644 0.3110  4 Tb 2.14-2.28
O24 0.7001 0.1252 0.4428  1 Ti 1.87
O25 0.9652 0.4741 0.1596  1 Ti 1.96
O26 0.4997 0.9239 0.6621  1 Ti 1.89
O27 0.3795 0.7813 0.0378  1 Ti 1.91
Tb1 0.7803 0.2718 0.2315  5 O 2.24-2.36
Tb2 0.0201 0.0201 0.4980  6 O 2.26-2.38
Tb3 0.2489 0.7565 0.7547  5 O 2.24-2.41
Tb4 0.7565 0.2489 0.7547  5 O 2.24-2.41
Tb5 0.2462 0.2462 0.7321  6 O 2.14-2.38
Tb6 0.4822 0.4822 0.4910  4 O 2.14-2.36
Tb7 0.7502 0.7502 0.2671  5 O 2.22-2.37
Tb8 0.0172 0.0172 0.0029  7 O 2.22-2.48
Tb9 0.2718 0.7803 0.2315  5 O 2.24-2.36
Tb10 0.7563 0.7563 0.7755  7 O 2.20-2.40
Ti1 0.5237 0.9966 0.5031  5 O 1.87-2.04
Ti2 0.5015 0.5015 0.0072  4 O 1.91-2.01
Ti3 0.9966 0.5237 0.5031  5 O 1.87-2.04
Ti4 0.0197 0.5084 0.9941  4 O 1.85-1.97
Ti5 0.5084 0.0197 0.9941  4 O 1.85-1.97
Ti6 0.2482 0.2482 0.2572  4 O 1.85-1.96

Summary:
The value obtained for the energy relative to the elements, uncorrected is -3.319 eV per atom. For the density of states at the Fermi level, the calculation gives 0.00 states/eV/f.u. The calculated total energy comes out at -8.610 eV per atom. The calculation puts the magnetization at 0.00 μB/atom.

=====

The following is a DFT calculation (PBE) of crystalline Tb4Ti6O19 at its relaxed geometry.

abc: 7.8083 7.8083 7.8083
angles: 109.47 109.47 109.47
Closest atoms and distances in Å follow each position.
Fractional coordinates of all 29 atoms:
Tb1 0.7025 0.0000 0.0000  4 O 2.25-2.32
Tb2 0.2975 0.2975 0.2975  4 O 2.25-2.32
Tb3 0.0000 0.0000 0.7025  4 O 2.25-2.32
Tb4 0.0000 0.7025 0.0000  4 O 2.25-2.32
Ti1 0.6602 0.5000 0.1602  6 O 1.96-1.97
Ti2 0.8398 0.3398 0.5000  6 O 1.96-1.97
Ti3 0.5000 0.1602 0.6602  6 O 1.96-1.97
Ti4 0.3398 0.5000 0.8398  6 O 1.96-1.97
Ti5 0.5000 0.8398 0.3398  6 O 1.96-1.97
Ti6 0.1602 0.6602 0.5000  6 O 1.96-1.97
O1 0.7501 0.3890 0.7116  2 Ti 1.96-1.97
O2 0.9615 0.6389 0.2499  2 Ti 1.96-1.97
O3 0.6485 0.0000 0.6485  2 Ti 1.97
O4 0.3515 0.3515 0.0000  2 Ti 1.97
O5 0.6110 0.3611 0.3226  2 Ti 1.96-1.97
O6 0.2884 0.6774 0.0385  2 Ti 1.96-1.97
O7 0.7116 0.7501 0.3890  2 Ti 1.96-1.97
O8 0.6485 0.6485 0.0000  2 Ti 1.97
O9 0.0385 0.2884 0.6774  2 Ti 1.96-1.97
O10 0.2499 0.9615 0.6389  2 Ti 1.96-1.97
O11 0.3515 0.0000 0.3515  2 Ti 1.97
O12 0.0000 0.6485 0.6485  2 Ti 1.97
O13 0.6774 0.0385 0.2884  2 Ti 1.96-1.97
O14 0.0000 0.0000 0.0000  4 Tb 2.32
O15 0.3226 0.6110 0.3611  2 Ti 1.96-1.97
O16 0.3890 0.7116 0.7501  2 Ti 1.96-1.97
O17 0.6389 0.2499 0.9615  2 Ti 1.96-1.97
O18 0.0000 0.3515 0.3515  2 Ti 1.97
O19 0.3611 0.3226 0.6110  2 Ti 1.96-1.97

Summary:
The value obtained for the energy relative to the elements, uncorrected is -2.998 eV per atom. For the density of states at the Fermi level, the calculation gives 14.01 states/eV/f.u. The calculated total energy comes out at -8.519 eV per atom. The calculation puts the magnetization at 0.07 μB/atom.

=====

The following is a DFT calculation (PBE) of crystalline Tb2Ti2O7 at its relaxed geometry.

abc: 5.3752 7.5376 13.2515
angles: 81.66 90.00 90.00
Closest atoms and distances in Å follow each position.
Fractional coordinates of all 44 atoms:
O1 0.4759 0.9418 0.5260  1 Ti 1.96
O2 0.5556 0.5127 0.7367  1 Ti 1.82
O3 0.9176 0.5873 0.0538  1 Ti 1.92
O4 0.4129 0.6342 0.1167  1 Ti 1.78
O5 0.9451 0.9261 0.9072  1 Ti 1.88
O6 0.9759 0.0582 0.4740  1 Ti 1.96
O7 0.1316 0.6731 0.8051  2 Ti 2.00-2.04
O8 0.9392 0.1387 0.0693  1 Ti 1.88
O9 0.9788 0.4559 0.4716  1 Ti 1.97
O10 0.6648 0.2212 0.6166  2 Ti 1.93-1.94
O11 0.0786 0.4222 0.6776  2 Ti 1.94-2.11
O12 0.4392 0.8613 0.9307  1 Ti 1.88
O13 0.0565 0.1278 0.2666  1 Ti 1.82
O14 0.3575 0.2730 0.4076  2 Ti 2.03, 1 Tb 2.25
O15 0.4176 0.4127 0.9462  1 Ti 1.92
O16 0.5786 0.5778 0.3224  2 Ti 1.94-2.11
O17 0.6316 0.3269 0.1949  2 Ti 2.00-2.04
O18 0.5768 0.0094 0.3207  2 Ti 1.96-2.02
O19 0.8575 0.7270 0.5924  2 Ti 2.03, 1 Tb 2.25
O20 0.5565 0.8722 0.7334  1 Ti 1.82
O21 0.9129 0.3658 0.8833  1 Ti 1.78
O22 0.4788 0.5441 0.5284  1 Ti 1.97
O23 0.3314 0.1721 0.8156  2 Ti 1.91-1.94
O24 0.4451 0.0739 0.0928  1 Ti 1.88
O25 0.8314 0.8279 0.1844  2 Ti 1.91-1.94
O26 0.1648 0.7788 0.3834  2 Ti 1.93-1.94
O27 0.0556 0.4873 0.2633  1 Ti 1.82
O28 0.0768 0.9906 0.6793  2 Ti 1.96-2.02
Tb1 0.2640 0.7150 0.6329  8 O 2.25-2.47
Tb2 0.2266 0.3538 0.1149  8 O 2.34-2.60
Tb3 0.2409 0.2343 0.5745  6 O 2.28-2.47
Tb4 0.7640 0.2850 0.3671  8 O 2.25-2.47
Tb5 0.7409 0.7657 0.4255  6 O 2.28-2.47
Tb6 0.6470 0.1423 0.9368  7 O 2.24-2.41
Tb7 0.7266 0.6462 0.8851  8 O 2.34-2.60
Tb8 0.1470 0.8577 0.0632  7 O 2.24-2.41
Ti1 0.7222 0.0701 0.1791  5 O 1.88-2.04
Ti2 0.2122 0.4108 0.8279  3 O 1.78-1.94
Ti3 0.2222 0.9299 0.8209  5 O 1.88-2.04
Ti4 0.2422 0.5311 0.3717  5 O 1.82-2.03
Ti5 0.2417 0.0308 0.3760  5 O 1.82-2.03
Ti6 0.7122 0.5892 0.1721  3 O 1.78-1.94
Ti7 0.7422 0.4689 0.6283  5 O 1.82-2.03
Ti8 0.7417 0.9692 0.6240  5 O 1.82-2.03

Summary:
The value obtained for the energy relative to the elements, uncorrected is -3.343 eV per atom. For the density of states at the Fermi level, the calculation gives 0.00 states/eV/f.u. The calculated total energy comes out at -8.775 eV per atom. The calculation puts the magnetization at 0.00 μB/atom.

=====

Question: What is the energy relative to the elements, uncorrected in the second record?
Answer: -2.998 eV per atom

=====

Question: What is the magnetization in the second record?
Answer: 0.07 μB/atom